VASP calculation (GGA-PBE) on a relaxed structure of MgFePd2.

POSCAR file:
```
MgFePd2
1.0
2.8963 0.0000 0.0000
0.0000 2.8963 0.0000
0.0000 0.0000 7.1513
Fe Mg Pd
1 1 2
Cartesian
1.4481 1.4481 0.0000 Fe
1.4481 1.4481 3.5756 Mg
0.0000 0.0000 1.7142 Pd
0.0000 0.0000 5.4371 Pd
```

ΔH_f (0 K)	-1.41	eV per formula unit
DOS at the Fermi energy	0.5532	states/eV/atom
M_tot	3.4	μB per formula unit